DFT (PBEsol) results for Ti2OsBr2 after structural relaxation.

Lattice parameters (Å, degrees): 6.6308 6.6308 6.6308 145.56 145.56 49.50
Sites, in units of the cell vectors:
Ti (0.1050, 0.1050, 0.0000)
Ti (0.8950, 0.8950, 0.0000)
Os (0.5000, 0.5000, 0.0000)
Br (0.2500, 0.7500, 0.5000)
Br (0.7500, 0.2500, 0.5000)

E   -29.8 eV per formula unit
Uncorrected formation energy   553 meV/atom
Crystal system   tetragonal
M_tot   0.352 μB/atom
Mass density   8.0 g/cm3

---

DFT (PBEsol) results for OsW2Br after structural relaxation.

Lattice parameters (Å, degrees): 4.4490 4.4490 4.4490 60.00 60.00 60.00
Sites, in units of the cell vectors:
Os (0.0000, 0.0000, 0.0000)
W (0.2500, 0.2500, 0.2500)
W (0.7500, 0.7500, 0.7500)
Br (0.5000, 0.5000, 0.5000)

E   -37.6 eV per formula unit
Uncorrected formation energy   1037 meV/atom
Crystal system   cubic
M_tot   0.000 μB/atom
ΔE to the lowest computed polymorph   183 kJ/mol of formula units
Mass density   17.0 g/cm3

---

DFT (PBEsol) results for OsW2Br after structural relaxation.

Lattice parameters (Å, degrees): 9.0145 9.0145 9.0145 18.50 18.50 18.50
Sites, in units of the cell vectors:
Os (0.0000, 0.0000, 0.0000)
W (0.4966, 0.4966, 0.4966)
W (0.7421, 0.7421, 0.7421)
Br (0.2396, 0.2396, 0.2396)

E   -39.3 eV per formula unit
Uncorrected formation energy   589 meV/atom
Crystal system   trigonal
M_tot   0.000 μB/atom
ΔE to the lowest computed polymorph   10 kJ/mol of formula units
Mass density   16.4 g/cm3

---

DFT (PBEsol) results for OsWBr3 after structural relaxation.

Lattice parameters (Å, degrees): 4.9558 4.9558 4.9558 90.00 90.00 90.00
Sites, in units of the cell vectors:
Os (0.0000, 0.0000, 0.0000)
W (0.5000, 0.5000, 0.5000)
Br (0.0000, 0.0000, 0.5000)
Br (0.0000, 0.5000, 0.0000)
Br (0.5000, 0.0000, 0.0000)

E   -23.0 eV per formula unit
Uncorrected formation energy   1734 meV/atom
Crystal system   cubic
M_tot   0.734 μB/atom
Mass density   8.4 g/cm3

---

DFT (PBEsol) results for OsW2Br after structural relaxation.

Lattice parameters (Å, degrees): 8.8641 8.8641 8.8641 18.72 18.72 18.72
Sites, in units of the cell vectors:
Os (0.0000, 0.0000, 0.0000)
W (0.2512, 0.2512, 0.2512)
W (0.7488, 0.7488, 0.7488)
Br (0.5000, 0.5000, 0.5000)

E   -39.4 eV per formula unit
Uncorrected formation energy   563 meV/atom
Crystal system   trigonal
M_tot   0.000 μB/atom
ΔE to the lowest computed polymorph   0 kJ/mol of formula units
Mass density   16.9 g/cm3

---

DFT (PBEsol) results for Y2OsBr after structural relaxation.

Lattice parameters (Å, degrees): 3.3399 3.3399 8.0077 90.00 90.00 90.00
Sites, in units of the cell vectors:
Y (0.0000, 0.0000, 0.2078)
Y (0.0000, 0.0000, 0.7922)
Os (0.5000, 0.5000, 0.0000)
Br (0.5000, 0.5000, 0.5000)

E   -30.6 eV per formula unit
Uncorrected formation energy   -707 meV/atom
Crystal system   tetragonal
M_tot   0.000 μB/atom
ΔE to the lowest computed polymorph   0 kJ/mol of formula units
Mass density   8.3 g/cm3

---

DFT (PBEsol) results for YOsBr2 after structural relaxation.

Lattice parameters (Å, degrees): 3.2329 3.2329 8.5646 90.00 90.00 90.00
Sites, in units of the cell vectors:
Y (0.0000, 0.0000, 0.0000)
Os (0.5000, 0.5000, 0.7771)
Br (0.0000, 0.0000, 0.5908)
Br (0.5000, 0.5000, 0.2236)

E   -23.4 eV per formula unit
Uncorrected formation energy   -151 meV/atom
Crystal system   tetragonal
M_tot   0.003 μB/atom
ΔE to the lowest computed polymorph   11 kJ/mol of formula units
Mass density   8.1 g/cm3

---

DFT (PBEsol) results for YOsBr2 after structural relaxation.

Lattice parameters (Å, degrees): 7.0600 7.0600 7.0600 152.88 145.13 44.72
Sites, in units of the cell vectors:
Y (0.0000, 0.0000, 0.0000)
Os (0.8385, 0.3385, 0.5000)
Br (0.3406, 0.8406, 0.5000)
Br (0.6070, 0.6070, 0.0000)

E   -23.5 eV per formula unit
Uncorrected formation energy   -180 meV/atom
Crystal system   orthorhombic
M_tot   0.000 μB/atom
ΔE to the lowest computed polymorph   0 kJ/mol of formula units
Mass density   8.0 g/cm3

---

> Look up the uncorrected formation energy of the fifth one.

563 meV/atom

---

> M_tot of number 2 (OsW2Br)?

0.000 μB/atom